Entry 1:
A plane-wave DFT calculation with GGA-PBE was carried out for a relaxed structure of TmScAgBi.

Properties
**ΔE_f**: -0.34 eV per atom
**Crystal system**: cubic

The structure in POSCAR format:
```
TmScAgBi
1.0
0.000 3.644 3.644
3.644 0.000 3.644
3.644 3.644 0.000
Tm Sc Ag Bi
1 1 1 1
direct
0.000 0.000 0.000
0.500 0.500 0.500
0.250 0.250 0.250
0.750 0.750 0.750
```

Entry 2:
A plane-wave DFT calculation with GGA-PBE was carried out for a relaxed structure of RbInBi.

Properties
**ΔE_f**: -0.18 eV per atom
**Crystal system**: trigonal

The structure in POSCAR format:
```
RbInBi
1.0
5.257 0.000 0.000
-2.628 4.553 0.000
0.000 0.000 5.651
Rb In Bi
1 1 1
direct
0.000 0.000 0.000
0.667 0.333 0.501
0.333 0.667 0.500
```

Entry 3:
A plane-wave DFT calculation with GGA-PBE was carried out for a relaxed structure of Re2Au.

Properties
**ΔE_f**: 0.84 eV per atom
**Offset from the most stable computed form**: 624 meV per atom
**Crystal system**: tetragonal

The structure in POSCAR format:
```
Re2Au
1.0
-3.141 3.141 2.561
3.141 -3.141 2.561
3.141 3.141 -2.561
Re Au
4 2
direct
0.130 0.630 0.761
0.370 0.130 0.500
0.630 0.870 0.500
0.870 0.370 0.239
0.250 0.250 0.000
0.750 0.750 0.000
```

Entry 4:
A plane-wave DFT calculation with GGA-PBE was carried out for a relaxed structure of Ca2In2Pb5.

Properties
**ΔE_f**: -0.11 eV per atom
**Crystal system**: monoclinic

The structure in POSCAR format:
```
Ca2In2Pb5
1.0
11.072 -1.782 0.000
11.072 1.782 0.000
-2.080 0.000 7.500
Ca In Pb
2 2 5
direct
0.050 0.050 0.221
0.950 0.950 0.779
0.350 0.350 0.416
0.650 0.650 0.584
0.204 0.204 0.302
0.399 0.399 0.082
0.500 0.500 0.500
0.601 0.601 0.918
0.796 0.796 0.698
```

Entry 5:
A plane-wave DFT calculation with GGA-PBE was carried out for a relaxed structure of La8Dy6Tm.

Properties
**ΔE_f**: 0.16 eV per atom
**Crystal system**: trigonal

The structure in POSCAR format:
```
La8Dy6Tm
1.0
9.444 0.000 0.000
-4.722 8.179 0.000
0.000 0.000 6.699
La Dy Tm
8 6 1
direct
0.043 0.292 0.168
0.249 0.957 0.168
0.292 0.249 0.832
0.333 0.667 0.119
0.667 0.333 0.881
0.708 0.751 0.168
0.751 0.043 0.832
0.957 0.708 0.832
0.097 0.435 0.650
0.338 0.903 0.650
0.435 0.338 0.350
0.565 0.662 0.650
0.662 0.097 0.350
0.903 0.565 0.350
0.000 0.000 0.500
```

Entry 6:
A plane-wave DFT calculation with GGA-PBE was carried out for a relaxed structure of Ta4TlAu.

Properties
**ΔE_f**: 0.51 eV per atom
**Crystal system**: cubic

The structure in POSCAR format:
```
Ta4TlAu
1.0
0.000 3.908 3.908
3.908 0.000 3.908
3.908 3.908 0.000
Ta Tl Au
4 1 1
direct
0.124 0.124 0.124
0.124 0.124 0.627
0.124 0.627 0.124
0.627 0.124 0.124
0.750 0.750 0.750
0.500 0.500 0.500
```

Entry 7:
A plane-wave DFT calculation with GGA-PBE was carried out for a relaxed structure of SbAs3Pt.

Properties
**Offset from the most stable computed form**: 0 meV per atom
**E_form (uncorrected)**: 519 meV per atom
**Crystal system**: cubic

The structure in POSCAR format:
```
SbAs3Pt
1.0
4.941 0.000 0.000
0.000 4.941 0.000
0.000 0.000 4.941
Sb As Pt
1 3 1
direct
0.000 0.000 0.000
0.000 0.500 0.500
0.500 0.000 0.500
0.500 0.500 0.000
0.500 0.500 0.500
```

Entry 8:
A plane-wave DFT calculation with GGA-PBE was carried out for a relaxed structure of HfMnAu6.

Properties
**ΔE_f**: -0.25 eV per atom
**Crystal system**: monoclinic

The structure in POSCAR format:
```
HfMnAu6
1.0
4.556 -2.111 0.000
4.556 2.111 0.000
-3.921 0.000 7.449
Hf Mn Au
1 1 6
direct
0.000 0.000 0.000
0.000 0.000 0.500
0.248 0.248 0.872
0.251 0.251 0.377
0.499 0.499 0.751
0.501 0.501 0.249
0.749 0.749 0.623
0.752 0.752 0.128
```

Entry 9:
A plane-wave DFT calculation with GGA-PBE was carried out for a relaxed structure of KIBr4.

Properties
**Offset from the most stable computed form**: 110 meV per atom
**E_form (uncorrected)**: -514 meV per atom
**Crystal system**: monoclinic

The structure in POSCAR format:
```
KIBr4
1.0
6.119 0.000 0.000
0.000 10.553 0.000
-2.892 0.000 8.674
K I Br
2 2 8
direct
0.121 0.250 0.201
0.879 0.750 0.799
0.184 0.750 0.386
0.816 0.250 0.614
0.062 0.570 0.130
0.062 0.930 0.130
0.309 0.250 0.600
0.335 0.750 0.706
0.665 0.250 0.294
0.691 0.750 0.400
0.938 0.070 0.870
0.938 0.430 0.870
```

Entry 10:
A plane-wave DFT calculation with GGA-PBE was carried out for a relaxed structure of FeIr2Se.

Properties
**E_form (uncorrected)**: 447 meV per atom
**Crystal system**: tetragonal

The structure in POSCAR format:
```
FeIr2Se
1.0
4.516 0.000 0.000
0.000 4.516 0.000
0.000 0.000 2.942
Fe Ir Se
1 2 1
direct
0.000 0.000 0.000
0.000 0.500 0.500
0.500 0.000 0.500
0.500 0.500 0.000
```

Entry 11:
A plane-wave DFT calculation with GGA-PBE was carried out for a relaxed structure of DyPuPd14.

Properties
**ΔE_f**: -0.35 eV per atom
**Crystal system**: tetragonal

The structure in POSCAR format:
```
DyPuPd14
1.0
5.792 0.000 0.000
0.000 5.792 0.000
0.000 0.000 7.883
Dy Pu Pd
1 1 14
direct
0.000 0.000 0.000
0.500 0.500 0.000
0.000 0.000 0.500
0.000 0.500 0.000
0.000 0.500 0.500
0.251 0.251 0.257
0.251 0.251 0.743
0.251 0.749 0.257
0.251 0.749 0.743
0.500 0.000 0.000
0.500 0.000 0.500
0.500 0.500 0.500
0.749 0.251 0.257
0.749 0.251 0.743
0.749 0.749 0.257
0.749 0.749 0.743
```

Entry 12:
A plane-wave DFT calculation with GGA-PBE was carried out for a relaxed structure of Ca2YBr.

Properties
**Offset from the most stable computed form**: 472 meV per atom
**E_form (uncorrected)**: -169 meV per atom
**Crystal system**: tetragonal

The structure in POSCAR format:
```
Ca2YBr
1.0
-2.382 2.382 6.224
2.382 -2.382 6.224
2.382 2.382 -6.224
Ca Y Br
2 1 1
direct
0.000 0.000 0.000
0.750 0.250 0.500
0.250 0.750 0.500
0.500 0.500 0.000
```

Entry 13:
A plane-wave DFT calculation with GGA-PBE was carried out for a relaxed structure of Sr3HoTl12.

Properties
**ΔE_f**: -0.24 eV per atom
**Crystal system**: tetragonal

The structure in POSCAR format:
```
Sr3HoTl12
1.0
4.961 0.000 0.000
0.000 4.961 0.000
0.000 0.000 19.532
Sr Ho Tl
3 1 12
direct
0.000 0.000 0.000
0.000 0.000 0.258
0.000 0.000 0.742
0.000 0.000 0.500
0.000 0.500 0.128
0.000 0.500 0.383
0.000 0.500 0.617
0.000 0.500 0.872
0.500 0.000 0.128
0.500 0.000 0.383
0.500 0.000 0.617
0.500 0.000 0.872
0.500 0.500 0.000
0.500 0.500 0.252
0.500 0.500 0.500
0.500 0.500 0.748
```

Entry 14:
A plane-wave DFT calculation with GGA-PBE was carried out for a relaxed structure of TaZnW2.

Properties
**ΔE_f**: 0.14 eV per atom
**Crystal system**: tetragonal

The structure in POSCAR format:
```
TaZnW2
1.0
3.277 0.000 0.000
0.000 3.277 0.000
0.000 0.000 6.022
Ta Zn W
1 1 2
direct
0.000 0.000 0.000
0.500 0.500 0.747
0.000 0.000 0.505
0.500 0.500 0.260
```

Entry 15:
A plane-wave DFT calculation with GGA-PBE was carried out for a relaxed structure of Ag4Pd5Au.

Properties
**ΔE_f**: -0.04 eV per atom
**Offset from the most stable computed form**: 0 meV per atom
**Crystal system**: tetragonal

The structure in POSCAR format:
```
Ag4Pd5Au
1.0
2.835 0.000 0.000
0.000 2.835 0.000
0.000 0.000 20.582
Ag Pd Au
4 5 1
direct
0.000 0.000 0.100
0.000 0.000 0.300
0.000 0.000 0.700
0.000 0.000 0.900
0.500 0.500 0.000
0.500 0.500 0.200
0.500 0.500 0.400
0.500 0.500 0.600
0.500 0.500 0.800
0.000 0.000 0.500
```

Entry 16:
A plane-wave DFT calculation with GGA-PBE was carried out for a relaxed structure of Tm5Ni4Rh.

Properties
**ΔE_f**: -0.55 eV per atom
**Crystal system**: tetragonal

The structure in POSCAR format:
```
Tm5Ni4Rh
1.0
3.324 0.000 0.000
0.000 3.324 0.000
0.000 0.000 16.865
Tm Ni Rh
5 4 1
direct
0.000 0.000 0.000
0.000 0.000 0.198
0.000 0.000 0.398
0.000 0.000 0.602
0.000 0.000 0.802
0.500 0.500 0.099
0.500 0.500 0.297
0.500 0.500 0.703
0.500 0.500 0.901
0.500 0.500 0.500
```

Entry 17:
A plane-wave DFT calculation with GGA-PBE was carried out for a relaxed structure of KMnReSe2.

Properties
**E_form (uncorrected)**: 1427 meV per atom
**Crystal system**: tetragonal

The structure in POSCAR format:
```
KMnReSe2
1.0
4.681 0.000 0.000
0.000 4.681 0.000
0.000 0.000 5.790
K Mn Re Se
1 1 1 2
direct
0.000 0.000 0.000
0.000 0.000 0.500
0.500 0.500 0.000
0.000 0.500 0.500
0.500 0.000 0.500
```

Entry 18:
A plane-wave DFT calculation with GGA-PBE was carried out for a relaxed structure of Tb4Er3Cd.

Properties
**ΔE_f**: -0.06 eV per atom
**Crystal system**: tetragonal

The structure in POSCAR format:
```
Tb4Er3Cd
1.0
3.550 0.000 0.000
0.000 3.550 0.000
0.000 0.000 19.105
Tb Er Cd
4 3 1
direct
0.000 0.000 0.110
0.000 0.000 0.370
0.000 0.000 0.630
0.000 0.000 0.890
0.500 0.500 0.240
0.500 0.500 0.500
0.500 0.500 0.760
0.500 0.500 0.000
```

Entry 19:
A plane-wave DFT calculation with GGA-PBE was carried out for a relaxed structure of PmNd2Ho6Tm3.

Properties
**ΔE_f**: 0.02 eV per atom
**Crystal system**: monoclinic

The structure in POSCAR format:
```
PmNd2Ho6Tm3
1.0
3.079 -5.329 0.000
3.079 5.329 0.000
-2.049 0.000 11.568
Pm Nd Ho Tm
1 2 6 3
direct
0.000 0.000 0.000
0.333 0.667 0.000
0.667 0.333 0.000
0.086 0.419 0.255
0.247 0.247 0.745
0.419 0.086 0.255
0.581 0.914 0.745
0.753 0.753 0.255
0.914 0.581 0.745
0.167 0.833 0.500
0.500 0.500 0.500
0.833 0.167 0.500
```

Entry 20:
A plane-wave DFT calculation with GGA-PBE was carried out for a relaxed structure of NdMo6S8.

Properties
**E_form (uncorrected)**: -921 meV per atom
**Crystal system**: trigonal

The structure in POSCAR format:
```
NdMo6S8
1.0
4.582 2.646 3.844
-4.582 2.646 3.844
0.000 -5.291 3.844
Nd Mo S
1 6 8
direct
0.000 0.000 0.000
0.225 0.420 0.562
0.420 0.562 0.225
0.438 0.775 0.580
0.562 0.225 0.420
0.580 0.438 0.775
0.775 0.580 0.438
0.127 0.750 0.373
0.243 0.243 0.243
0.250 0.627 0.873
0.373 0.127 0.750
0.627 0.873 0.250
0.750 0.373 0.127
0.757 0.757 0.757
0.873 0.250 0.627
```

Entry 21:
A plane-wave DFT calculation with GGA-PBE was carried out for a relaxed structure of NiPdI6.

Properties
**Offset from the most stable computed form**: 0 meV per atom
**E_form (uncorrected)**: -87 meV per atom
**Crystal system**: monoclinic

The structure in POSCAR format:
```
NiPdI6
1.0
4.525 -5.842 0.000
4.525 5.842 0.000
-2.415 0.000 6.678
Ni Pd I
1 1 6
direct
0.000 0.000 0.000
0.000 0.000 0.500
0.074 0.774 0.726
0.226 0.926 0.274
0.365 0.365 0.054
0.635 0.635 0.946
0.774 0.074 0.726
0.926 0.226 0.274
```

Entry 22:
A plane-wave DFT calculation with GGA-PBE was carried out for a relaxed structure of RbLa2Ir.

Properties
**ΔE_f**: -0.38 eV per atom
**Offset from the most stable computed form**: 0 meV per atom
**Crystal system**: trigonal

The structure in POSCAR format:
```
RbLa2Ir
1.0
2.147 1.240 11.703
-2.147 1.240 11.703
0.000 -2.480 11.703
Rb La Ir
1 2 1
direct
0.000 0.000 0.000
0.125 0.125 0.125
0.875 0.875 0.875
0.500 0.500 0.500
```

Entry 23:
A plane-wave DFT calculation with GGA-PBE was carried out for a relaxed structure of Li4Tb3Ge4.

Properties
**ΔE_f**: -0.67 eV per atom
**Crystal system**: orthorhombic

The structure in POSCAR format:
```
Li4Tb3Ge4
1.0
-2.166 3.369 7.180
2.166 -3.369 7.180
2.166 3.369 -7.180
Li Tb Ge
4 3 4
direct
0.018 0.828 0.190
0.362 0.172 0.190
0.638 0.828 0.810
0.982 0.172 0.810
0.000 0.500 0.500
0.371 0.371 0.000
0.629 0.629 0.000
0.214 0.714 0.500
0.310 0.000 0.310
0.690 0.000 0.690
0.786 0.286 0.500
```

Entry 24:
A plane-wave DFT calculation with GGA-PBE was carried out for a relaxed structure of PuTiGaMo.

Properties
**ΔE_f**: 0.04 eV per atom
**Crystal system**: cubic

The structure in POSCAR format:
```
PuTiGaMo
1.0
0.000 3.324 3.324
3.324 0.000 3.324
3.324 3.324 0.000
Pu Ti Ga Mo
1 1 1 1
direct
0.000 0.000 0.000
0.500 0.500 0.500
0.250 0.250 0.250
0.750 0.750 0.750
```

Computed theoretical density (g/cm3) in order:
9.11, 5.02, 18.71, 7.55, 7.24, 15.65, 7.46, 16.40, 2.88, 14.37, 11.91, 2.93, 9.95, 15.76, 11.65, 10.54, 5.74, 8.62, 8.44, 5.80, 4.36, 4.93, 6.30, 10.35